Here is an optimized crystal structure of NdSmCr4O12 from the Alexandria database. Energies are from PBE with a Hubbard U.

Geometry as POSCAR:
```
NdSmCr4O12
1.0
7.3323 0.0000 0.0000
0.0000 3.7947 3.8803
0.0000 -3.7947 3.8803
Nd Sm Cr O
1 1 4 12
direct
0.0000 0.0000 0.0000
0.5000 0.4933 0.4933
0.2507 0.4909 0.9902
0.2507 0.9902 0.4909
0.7493 0.4909 0.9902
0.7493 0.9902 0.4909
0.0000 0.5676 0.9541
0.0000 0.9541 0.5676
0.1953 0.2509 0.2509
0.2512 0.2513 0.7595
0.2512 0.7595 0.2513
0.3083 0.7383 0.7383
0.5000 0.0701 0.4561
0.5000 0.4561 0.0701
0.6917 0.7383 0.7383
0.7488 0.2513 0.7595
0.7488 0.7595 0.2513
0.8047 0.2509 0.2509
```

DFT total energy: -7.335 eV per atom
Theoretical density: 5.3 g/cm³